Entry from Alexandria: Ac2TlCo3O8 after structural relaxation (GGA+U).

Cell lengths 6.827, 6.827, 6.827 Å; angles 54.67, 54.67, 54.67 degrees
Positions (direct):
Ac (0.000, 0.000, 0.000)
Ac (0.391, 0.391, 0.391)
Tl (0.626, 0.626, 0.626)
Co (0.005, 0.005, 0.507)
Co (0.005, 0.507, 0.005)
Co (0.507, 0.005, 0.005)
O (0.187, 0.746, 0.746)
O (0.237, 0.237, 0.237)
O (0.258, 0.258, 0.827)
O (0.258, 0.827, 0.258)
O (0.746, 0.187, 0.746)
O (0.746, 0.746, 0.187)
O (0.783, 0.783, 0.783)
O (0.827, 0.258, 0.258)

Properties
raw total energy = -6.19 eV per atom